Compound: SrSn3
Source: Alexandria
Functional: PBEsol
Structure: optimized geometry

* SG: Pm-3m
* ΔH_f (0 K): -0.45 eV per atom

```
SrSn3
1.0
4.771 0.000 0.000
0.000 4.771 0.000
0.000 0.000 4.771
Sr Sn
1 3
Cartesian
0.000 0.000 0.000
0.000 2.386 2.386
2.386 0.000 2.386
2.386 2.386 0.000
```